First-principles (PBE with a Hubbard U) data for an optimized crystal structure of NbNi11B4O20, as listed in Alexandria via LeMat-Bulk.

Calculated values
* DFT total energy: -6.17 eV per atom
* magnetization: 21.00 μB/f.u.

Cell lengths 10.564, 6.192, 21.818 Å; angles 90.00, 101.69, 90.00 degrees
Space group C2/c (No. 15)
Symmetry-distinct sites (fractional):
1 Nb 0.000 0.222 0.250 x4
2 Ni 0.000 0.307 0.750 x4
3 Ni 0.000 0.500 0.000 x4
4 Ni 0.108 0.186 0.109 x8
5 Ni 0.125 0.126 0.501 x8
6 Ni 0.143 0.439 0.393 x8
7 Ni 0.249 0.068 0.750 x8
8 Ni 0.250 0.250 0.000 x4
9 B 0.117 0.313 0.632 x8
10 B 0.132 0.062 0.870 x8
11 O 0.049 0.484 0.600 x8
12 O 0.069 0.187 0.014 x8
13 O 0.091 0.108 0.402 x8
14 O 0.101 0.058 0.804 x8
15 O 0.103 0.436 0.300 x8
16 O 0.140 0.176 0.203 x8
17 O 0.145 0.313 0.698 x8
18 O 0.160 0.143 0.600 x8
19 O 0.183 0.438 0.487 x8
20 O 0.201 0.233 0.900 x8